This record from the Open Quantum Materials Database describes a relaxed Ho2N crystal. The functional is PBE.

a = 5.719 Å, b = 5.719 Å, c = 5.719 Å
α = 60.00°, β = 60.00°, γ = 60.00°
Atoms (fractional coordinates):
Ho 0.000 0.000 0.000
Ho 0.000 0.000 0.500
Ho 0.000 0.500 0.000
Ho 0.500 0.000 0.000
N 0.375 0.375 0.375
N 0.625 0.625 0.625

Calculated values
SG: Fd-3m, No. 227
Uncorrected energy (eV per atom): -4.04
Spin magnetization (μB per formula unit): 0.00